Run one
# GGA-PBE Eu2CoTe, relaxed
data_Eu2CoTe
_symmetry_space_group_name_H-M 'P 4/m m m'
_symmetry_Int_Tables_number 123
_symmetry_space_group_name_Hall '-P 4 2'
_cell_length_a 3.862
_cell_length_b 3.862
_cell_length_c 7.204
_cell_angle_alpha 90.00
_cell_angle_beta 90.00
_cell_angle_gamma 90.00
loop_
_atom_site_label
_atom_site_type_symbol
_atom_site_fract_x
_atom_site_fract_y
_atom_site_fract_z
Eu1 Eu 0.000 0.000 0.236
Co1 Co 0.500 0.500 0.000
Te1 Te 0.500 0.500 0.500
# Spin magnetization in Bohr magnetons per cell: 15.010
# Mass density in g cm⁻³: 7.6

***

Run two
# GGA-PBE Eu2CoTe, relaxed
data_Eu2CoTe
_symmetry_space_group_name_H-M 'R -3 m'
_symmetry_Int_Tables_number 166
_symmetry_space_group_name_Hall '-R 3 2"'
_cell_length_a 4.3246
_cell_length_b 4.3246
_cell_length_c 22.1149
_cell_angle_alpha 90.00
_cell_angle_beta 90.00
_cell_angle_gamma 120.00
loop_
_atom_site_label
_atom_site_type_symbol
_atom_site_fract_x
_atom_site_fract_y
_atom_site_fract_z
Eu1 Eu 0.0000 0.0000 0.2419
Co1 Co 0.0000 0.0000 0.5000
Te1 Te 0.0000 0.0000 0.0000
# Spin magnetization in Bohr magnetons per cell: 38.934
# Mass density in g cm⁻³: 6.8

***

What should be chosen as the least stable of them? Choose run one.

***

Run one
# GGA-PBE EuY2Co, relaxed
data_EuY2Co
_symmetry_space_group_name_H-M 'R -3 m'
_symmetry_Int_Tables_number 166
_symmetry_space_group_name_Hall '-R 3 2"'
_cell_length_a 3.8887
_cell_length_b 3.8887
_cell_length_c 28.0571
_cell_angle_alpha 90.00
_cell_angle_beta 90.00
_cell_angle_gamma 120.00
loop_
_atom_site_label
_atom_site_type_symbol
_atom_site_fract_x
_atom_site_fract_y
_atom_site_fract_z
Eu1 Eu 0.0000 0.0000 0.0000
Y1 Y 0.0000 0.0000 0.2183
Co1 Co 0.0000 0.0000 0.5000
# Spin magnetization in Bohr magnetons per cell: 23.075
# Mass density in g cm⁻³: 5.3

***

Run two
# GGA-PBE EuY2Co, relaxed
data_EuY2Co
_symmetry_space_group_name_H-M 'P 4/m m m'
_symmetry_Int_Tables_number 123
_symmetry_space_group_name_Hall '-P 4 2'
_cell_length_a 3.454
_cell_length_b 3.454
_cell_length_c 9.137
_cell_angle_alpha 90.00
_cell_angle_beta 90.00
_cell_angle_gamma 90.00
loop_
_atom_site_label
_atom_site_type_symbol
_atom_site_fract_x
_atom_site_fract_y
_atom_site_fract_z
Eu1 Eu 0.000 0.000 0.000
Y1 Y 0.500 0.500 0.325
Co1 Co 0.000 0.000 0.500
# Spin magnetization in Bohr magnetons per cell: 8.322
# Mass density in g cm⁻³: 5.9

***

What should be chosen as the least stable of them? Choose run one.